The following is a DFT calculation (PBEsol) of crystalline K2AgAu at its relaxed geometry.

Output
Space-group type: Fm-3m
Mass density, g/cm3: 5.4
Density of states at the Fermi level, states/eV/atom: 0.0987
E, eV per atom: -2.3183
Calculated formation energy, meV/atom: 57

a = 5.5056 Å, b = 5.5056 Å, c = 5.5056 Å
α = 60.00°, β = 60.00°, γ = 60.00°
With the nearest neighbours (Å) after each atom.
Element x y z (fractional)
K: 0.2500 0.2500 0.2500  4 Ag 3.37, 4 Au 3.37
K: 0.7500 0.7500 0.7500  4 Au 3.37, 4 Ag 3.37
Au: 0.0000 0.0000 0.0000  8 K 3.37
Ag: 0.5000 0.5000 0.5000  8 K 3.37